This record from Alexandria via LeMat-Bulk describes a geometry-optimized Rb2AcPuTe4 structure. The functional is PBE.

Output
The value obtained for the formation energy without anion corrections is -1.278 eV per atom. The calculation puts the final energy at -5.396 eV per atom.

Cell lengths 4.7599, 8.2542, 8.9722 Å; angles 107.89, 90.00, 90.00 degrees
Closest atoms and distances in Å follow each position.
Atoms (fractional coordinates):
Rb 0.5000 0.0000 0.5000  6 Te 3.66-3.68
Rb 0.0000 0.5000 0.5000  6 Te 3.77-3.79
Ac 0.5000 0.5000 0.0000  6 Te 3.33-3.34
Pu 0.0000 0.0000 0.0000  6 Te 3.19-3.20
Te 0.5000 0.2201 0.2008  2 Pu 3.19, 1 Ac 3.34
Te 0.5000 0.7799 0.7992  2 Pu 3.19, 1 Ac 3.34
Te 0.0000 0.2513 0.7896  1 Pu 3.20, 2 Ac 3.33
Te 0.0000 0.7487 0.2104  1 Pu 3.20, 2 Ac 3.33

This record from Alexandria via LeMat-Bulk describes a geometry-optimized LaGaAsSe2 structure. The functional is PBE.

Output
The value obtained for the formation energy without anion corrections is -0.116 eV per atom. The value obtained for the energy above the lowest structure with this stoichiometry is 2.54 eV per formula unit. The calculation puts the final energy at -4.030 eV per atom.

Cell lengths 5.7733, 5.7733, 5.8452 Å; angles 90.00, 90.00, 90.00 degrees
Closest atoms and distances in Å follow each position.
Atoms (fractional coordinates):
As 0.0000 0.0000 0.5000  2 La 2.92
Ga 0.5000 0.5000 0.5000  4 As 4.08, 8 Se 4.11
Se 0.0000 0.5000 0.0000  2 La 2.89
Se 0.5000 0.0000 0.0000  2 La 2.89
La 0.0000 0.0000 0.0000  4 Se 2.89, 2 As 2.92

This record from Alexandria via LeMat-Bulk describes a geometry-optimized Ce2Nd3Dy6Th structure. The functional is PBE.

Output
Its formation energy from the elements is 0.039 eV per atom. The calculation puts the final energy at -5.062 eV per atom.

Cell lengths 6.1882, 6.1882, 11.7466 Å; angles 95.04, 95.04, 120.01 degrees
Closest atoms and distances in Å follow each position.
Atoms (fractional coordinates):
Ce 0.3333 0.6667 0.0000  6 Dy 3.49, 3 Ce 3.57, 3 Th 3.57
Ce 0.6667 0.3333 0.0000  6 Dy 3.49, 3 Ce 3.57, 3 Th 3.57
Nd 0.1667 0.8333 0.5000  6 Nd 3.57, 6 Dy 3.61-3.62
Nd 0.8333 0.1667 0.5000  6 Nd 3.57, 6 Dy 3.61-3.62
Nd 0.5000 0.5000 0.5000  6 Nd 3.57, 6 Dy 3.61-3.62
Dy 0.9185 0.5865 0.7566  1 Th 3.49, 2 Ce 3.49, 6 Dy 3.56-3.58, 3 Nd 3.61-3.62
Dy 0.7495 0.7495 0.2434  1 Th 3.48, 2 Ce 3.49, 6 Dy 3.56-3.58, 3 Nd 3.61-3.62
Dy 0.0815 0.4135 0.2434  1 Th 3.49, 2 Ce 3.49, 6 Dy 3.56-3.58, 3 Nd 3.61-3.62
Dy 0.5865 0.9185 0.7566  1 Th 3.49, 2 Ce 3.49, 6 Dy 3.56-3.58, 3 Nd 3.61-3.62
Dy 0.2505 0.2505 0.7566  1 Th 3.48, 2 Ce 3.49, 6 Dy 3.56-3.58, 3 Nd 3.61-3.62
Dy 0.4135 0.0815 0.2434  1 Th 3.49, 2 Ce 3.49, 6 Dy 3.56-3.58, 3 Nd 3.61-3.62
Th 0.0000 0.0000 0.0000  6 Dy 3.48-3.49, 6 Ce 3.57

This record from Alexandria via LeMat-Bulk describes a geometry-optimized Rb3La2CdS6 structure. The functional is PBE.

Output
The value obtained for the formation energy without anion corrections is -1.392 eV per atom. The calculation puts the final energy at -4.596 eV per atom.

Cell lengths 7.3221, 7.3221, 8.1028 Å; angles 98.66, 98.66, 119.97 degrees
Closest atoms and distances in Å follow each position.
Atoms (fractional coordinates):
Rb 0.1651 0.8349 0.5000  6 S 3.35-3.43
Rb 0.8349 0.1651 0.5000  6 S 3.35-3.43
Rb 0.5000 0.5000 0.5000  6 S 3.36-3.42
La 0.3332 0.6668 0.0000  6 S 2.90-2.91
La 0.6668 0.3332 0.0000  6 S 2.90-2.91
Cd 0.0000 0.0000 0.0000  6 S 2.83
S 0.9341 0.6087 0.8020  1 Cd 2.83, 2 La 2.90-2.91
S 0.7402 0.7402 0.1979  1 Cd 2.83, 2 La 2.91
S 0.0659 0.3913 0.1980  1 Cd 2.83, 2 La 2.90-2.91
S 0.6087 0.9341 0.8020  1 Cd 2.83, 2 La 2.90-2.91
S 0.2598 0.2598 0.8021  1 Cd 2.83, 2 La 2.91
S 0.3913 0.0659 0.1980  1 Cd 2.83, 2 La 2.90-2.91

This record from Alexandria via LeMat-Bulk describes a geometry-optimized Cr2TcRh6 structure. The functional is PBE.

Output
Its formation energy from the elements is 0.011 eV per atom. The calculation puts the final energy at -8.181 eV per atom.

Cell lengths 4.2199, 5.0559, 7.8369 Å; angles 121.27, 90.00, 114.67 degrees
Closest atoms and distances in Å follow each position.
Atoms (fractional coordinates):
Cr 0.6096 0.2192 0.7784  5 Rh 2.39-2.63
Cr 0.3904 0.7808 0.2216  5 Rh 2.39-2.63
Tc 0.0000 0.0000 0.5000  10 Rh 2.63-2.93, 4 Cr 2.78
Rh 0.0619 0.1237 0.8875  3 Cr 2.41-2.63, 1 Rh 2.59
Rh 0.6726 0.3452 0.1667  1 Tc 2.63, 9 Rh 2.70-2.89, 4 Cr 2.75-2.86
Rh 0.3274 0.6548 0.8333  1 Tc 2.63, 9 Rh 2.70-2.89, 4 Cr 2.75-2.86
Rh 0.7134 0.4268 0.5604  2 Cr 2.39-2.62, 2 Rh 2.56
Rh 0.2866 0.5732 0.4396  2 Cr 2.39-2.62, 2 Rh 2.56
Rh 0.9381 0.8763 0.1125  3 Cr 2.41-2.63, 1 Rh 2.59

This record from Alexandria via LeMat-Bulk describes a geometry-optimized Ni6GeAs structure. The functional is PBE.

Output
Its formation energy from the elements is -0.066 eV per atom. The value obtained for the energy above the lowest structure with this stoichiometry is 1.31 eV per formula unit. The calculation puts the final energy at -5.561 eV per atom.

Cell lengths 4.1417, 4.1417, 6.6248 Å; angles 75.58, 75.58, 71.59 degrees
Closest atoms and distances in Å follow each position.
Atoms (fractional coordinates):
Ni 0.0640 0.5488 0.3028  6 Ni 2.35-2.62, 1 Ge 2.38, 2 As 2.41-2.42
Ni 0.5488 0.0640 0.3028  6 Ni 2.35-2.62, 1 Ge 2.38, 2 As 2.41-2.42
Ni 0.4512 0.9360 0.6972  6 Ni 2.35-2.62, 1 Ge 2.38, 2 As 2.41-2.42
Ni 0.9360 0.4512 0.6972  6 Ni 2.35-2.62, 1 Ge 2.38, 2 As 2.41-2.42
Ni 0.3562 0.3562 0.9373  1 Ge 2.30, 3 Ni 2.33-2.52
Ni 0.6438 0.6438 0.0627  1 Ge 2.30, 3 Ni 2.33-2.52
Ge 0.0000 0.0000 0.0000  6 Ni 2.30-2.38
As 0.5000 0.5000 0.5000  8 Ni 2.41-2.42

This record from Alexandria via LeMat-Bulk describes a geometry-optimized TbTlCuPt structure. The functional is PBE.

Output
Its formation energy from the elements is -0.454 eV per atom. The calculation puts the final energy at -4.737 eV per atom.

Cell lengths 4.8299, 4.8299, 4.8299 Å; angles 60.00, 60.00, 60.00 degrees
Closest atoms and distances in Å follow each position.
Atoms (fractional coordinates):
Tl 0.5000 0.5000 0.5000  4 Cu 2.96, 4 Pt 2.96
Tb 0.0000 0.0000 0.0000  4 Pt 2.96, 4 Cu 2.96
Cu 0.2500 0.2500 0.2500  4 Tb 2.96, 4 Tl 2.96
Pt 0.7500 0.7500 0.7500  4 Tl 2.96, 4 Tb 2.96

This record from Alexandria via LeMat-Bulk describes a geometry-optimized TlCo2Re structure. The functional is PBE.

Output
Its formation energy from the elements is 0.637 eV per atom. The value obtained for the energy above the lowest structure with this stoichiometry is 1.00 eV per formula unit. The calculation puts the final energy at -6.620 eV per atom.

Cell lengths 4.3264, 4.3264, 3.1174 Å; angles 90.00, 90.00, 90.00 degrees
Closest atoms and distances in Å follow each position.
Atoms (fractional coordinates):
Co 0.0000 0.0000 0.0000  4 Tl 2.67, 4 Re 2.67
Co 0.5000 0.5000 0.0000  4 Tl 2.67, 4 Re 2.67
Re 0.5000 0.0000 0.5000  8 Co 2.67
Tl 0.0000 0.5000 0.5000  8 Co 2.67

This record from Alexandria via LeMat-Bulk describes a geometry-optimized BaTiMnN2 structure. The functional is PBE.

Output
The value obtained for the formation energy without anion corrections is 1.435 eV per atom. The calculation puts the final energy at -5.693 eV per atom.

Cell lengths 3.9738, 5.2275, 3.9738 Å; angles 90.00, 90.00, 90.00 degrees
Closest atoms and distances in Å follow each position.
Atoms (fractional coordinates):
N 0.0000 0.0000 0.5000  2 Mn 1.99
N 0.5000 0.0000 0.0000  2 Mn 1.99
Mn 0.0000 0.0000 0.0000  4 N 1.99
Ba 0.0000 0.5000 0.0000  2 Mn 2.61, 4 Ti 2.81
Ti 0.5000 0.5000 0.5000  4 Ba 2.81

This record from Alexandria via LeMat-Bulk describes a geometry-optimized Y7Mg3Ge8 structure. The functional is PBE.

Output
Its formation energy from the elements is -0.760 eV per atom. The calculation puts the final energy at -5.592 eV per atom.

Cell lengths 7.1424, 7.7867, 14.5499 Å; angles 90.00, 90.00, 90.00 degrees
Closest atoms and distances in Å follow each position.
Atoms (fractional coordinates):
Y 0.5075 0.9335 0.8472  7 Ge 2.97-3.29
Y 0.0075 0.0665 0.1528  7 Ge 2.97-3.29
Y 0.4884 0.5669 0.3428  6 Ge 2.96-3.14
Y 0.9884 0.4331 0.6572  6 Ge 2.96-3.14
Y 0.4916 0.5656 0.6589  7 Ge 2.98-3.28
Y 0.9916 0.4344 0.3411  7 Ge 2.98-3.28
Y 0.5099 0.9347 0.1517  7 Ge 2.98-3.32
Y 0.0099 0.0653 0.8483  7 Ge 2.98-3.32
Y 0.3285 0.0724 0.3745  6 Ge 2.86-3.08
Y 0.8285 0.9276 0.6255  6 Ge 2.86-3.08
Y 0.3301 0.0737 0.6248  6 Ge 2.87-3.07
Y 0.8301 0.9263 0.3752  6 Ge 2.87-3.07
Y 0.6688 0.4306 0.1197  6 Ge 2.84-3.06
Y 0.1688 0.5694 0.8803  6 Ge 2.84-3.06
Mg 0.8421 0.7651 0.0015  4 Ge 2.76-3.08
Mg 0.3421 0.2349 0.9985  4 Ge 2.76-3.08
Mg 0.1607 0.7286 0.5007  3 Ge 2.72-2.82
Mg 0.6607 0.2714 0.4993  3 Ge 2.72-2.82
Mg 0.6769 0.4253 0.8746  6 Ge 2.78-3.06
Mg 0.1769 0.5747 0.1254  6 Ge 2.78-3.06
Ge 0.6687 0.2181 0.7167  1 Ge 2.66, 1 Mg 2.81, 2 Y 2.86-2.96
Ge 0.1687 0.7819 0.2833  1 Ge 2.66, 1 Mg 2.81, 2 Y 2.86-2.96
Ge 0.3281 0.2858 0.2096  1 Ge 2.72, 1 Mg 2.78, 3 Y 2.92-2.98
Ge 0.8281 0.7142 0.7904  1 Ge 2.72, 1 Mg 2.78, 3 Y 2.92-2.98
Ge 0.3339 0.2849 0.7886  1 Ge 2.66, 2 Y 2.84-2.90, 1 Mg 2.96
Ge 0.8339 0.7151 0.2114  1 Ge 2.66, 2 Y 2.84-2.90, 1 Mg 2.96
Ge 0.6691 0.2171 0.2839  1 Ge 2.72, 4 Y 2.87-2.99
Ge 0.1691 0.7829 0.7161  1 Ge 2.72, 4 Y 2.87-2.99
Ge 0.7133 0.1105 0.9996  1 Ge 2.60, 2 Mg 2.82-2.84
Ge 0.2133 0.8895 0.0004  1 Ge 2.60, 2 Mg 2.82-2.84
Ge 0.2867 0.3887 0.5002  1 Ge 2.58, 2 Mg 2.80-2.82
Ge 0.7867 0.6113 0.4997  1 Ge 2.58, 2 Mg 2.80-2.82
Ge 0.4735 0.6568 0.9995  1 Ge 2.60, 2 Mg 2.76-2.87, 2 Y 2.85-2.86
Ge 0.9735 0.3432 0.0005  1 Ge 2.60, 2 Mg 2.76-2.87, 2 Y 2.85-2.86
Ge 0.5222 0.8375 0.5003  1 Ge 2.58, 1 Mg 2.72
Ge 0.0222 0.1625 0.4996  1 Ge 2.58, 1 Mg 2.72

Question: Look up the final energy of the fifth one.
Answer: -8.181 eV per atom